DFT (GGA-PBE) results for an optimized crystal structure of DyIn2Hg2.

abc: 5.1072 5.1072 12.4834
angles: 90.00 90.00 120.00
Fractional positions:
Dy 0.0000 0.0000 0.2500
Dy 0.0000 0.0000 0.7500
In 0.0000 0.0000 0.0000
In 0.0000 0.0000 0.5000
In 0.3333 0.6667 0.2500
In 0.6667 0.3333 0.7500
Hg 0.3333 0.6667 0.6183
Hg 0.3333 0.6667 0.8817
Hg 0.6667 0.3333 0.1183
Hg 0.6667 0.3333 0.3817

## Properties
Calculated formation energy ... -0.18 eV/f.u.
DOS(E_F) ... 0.812 states/eV per atom
Final energy ... -2.172 eV/atom
Theoretical density ... 9.3 g/cm3
SG ... No. 194